DFT (GGA-PBE) results for a geometry-optimized YMg8Pd4 structure.

Unit cell a=7.2252 b=7.2252 c=7.2252 alpha=98.87 beta=98.87 gamma=133.76
Last column: nearest neighbours and their distance in Å.
Fractional positions:
Y 0.0000 0.0000 0.0000  12 Mg 3.15-3.51
Mg 0.0000 0.3353 0.3353  4 Pd 2.86, 5 Mg 3.04-3.09, 1 Y 3.15
Mg 0.0000 0.6647 0.6647  4 Pd 2.86, 5 Mg 3.04-3.09, 1 Y 3.15
Mg 0.2802 0.5000 0.7802  4 Pd 2.76, 6 Mg 2.92-3.05
Mg 0.3353 0.0000 0.3353  4 Pd 2.86, 5 Mg 3.04-3.09, 1 Y 3.15
Mg 0.5000 0.2802 0.7802  4 Pd 2.76, 6 Mg 2.92-3.05
Mg 0.5000 0.7198 0.2198  4 Pd 2.76, 6 Mg 2.92-3.05
Mg 0.6647 0.0000 0.6647  4 Pd 2.86, 5 Mg 3.04-3.09, 1 Y 3.15
Mg 0.7198 0.5000 0.2198  4 Pd 2.76, 6 Mg 2.92-3.05
Pd 0.0000 0.0000 0.5000  8 Mg 2.76-2.86, 2 Pd 2.84
Pd 0.0000 0.5000 0.0000  8 Mg 2.76-2.86, 2 Pd 2.84
Pd 0.5000 0.0000 0.0000  8 Mg 2.76-2.86, 2 Pd 2.84
Pd 0.5000 0.5000 0.5000  8 Mg 2.76-2.86, 2 Pd 2.84

Formation enthalpy at 0 K ... -0.50 eV per atom
VASP energy ... -46.5 eV/cell
Total magnetic moment ... 0.00 μB per atom